Below is a relaxed structure of CsV2TeO8, with properties calculated at the PBE with a Hubbard U level.

Lattice parameters (Å, degrees): 5.4592 5.4592 8.7432 90.00 90.00 120.00
Sites, in units of the cell vectors:
Cs: 0.0000 0.0000 0.0000
V: 0.6667 0.3333 0.3013
V: 0.3333 0.6667 0.6987
Te: 0.0000 0.0000 0.5000
O: 0.3333 0.6667 0.8875
O: 0.3257 0.2644 0.3636
O: 0.7356 0.0613 0.3636
O: 0.6667 0.3333 0.1125
O: 0.2644 0.9387 0.6364
O: 0.6743 0.7356 0.6364
O: 0.0613 0.3257 0.6364
O: 0.9387 0.6743 0.3636

The size of the total moment is 0.000 μB/f.u. The value obtained for the total energy is -6.500 eV/atom.